[1]
The following is a PBE calculation of a geometry-optimized K2RbSn9 structure, from the Alexandria database.

Calculated values
The value obtained for the final energy is -3.41 eV/atom. The calculation puts the density at 5.21 Mg/m³. The calculation puts the formation enthalpy at 0 K at -1.715 eV per formula unit.

Structure (CIF):
```
data_K2RbSn9
_chemical_formula_sum 'K2 Rb1 Sn9'
_cell_length_a 6.7396
_cell_length_b 6.7396
_cell_length_c 10.7188
_cell_angle_alpha 71.68
_cell_angle_beta 71.68
_cell_angle_gamma 60.00
_symmetry_space_group_name_H-M 'P 1'
_symmetry_Int_Tables_number 1
loop_
_symmetry_equiv_pos_as_xyz
'x,y,z'
loop_
_atom_site_label
_atom_site_type_symbol
_atom_site_fract_x
_atom_site_fract_y
_atom_site_fract_z
Sn1 Sn 0.3431 0.3431 0.9707
Sn2 Sn 0.4038 0.9392 0.2532
Sn3 Sn 0.9392 0.4038 0.2532
Sn4 Sn 0.0608 0.5962 0.7468
Sn5 Sn 0.5000 0.5000 0.5000
Rb1 Rb 0.0000 0.0000 0.0000
Sn6 Sn 0.5962 0.5962 0.7468
Sn7 Sn 0.4038 0.4038 0.2532
Sn8 Sn 0.6569 0.6569 0.0293
K1 K 0.1395 0.1395 0.5814
K2 K 0.8605 0.8605 0.4186
Sn9 Sn 0.5962 0.0608 0.7468
```

[2]
The following is a PBE calculation of a geometry-optimized PuPaMnCo structure, from the Alexandria database.

Calculated values
The value obtained for the final energy is -9.98 eV/atom. The calculation puts the density at 13.38 Mg/m³. The calculation puts the formation enthalpy at 0 K at 0.188 eV per formula unit.

Structure (CIF):
```
data_PuPaMnCo
_chemical_formula_sum 'Pu1 Pa1 Mn1 Co1'
_cell_length_a 4.6925
_cell_length_b 4.6925
_cell_length_c 4.6925
_cell_angle_alpha 60.00
_cell_angle_beta 60.00
_cell_angle_gamma 60.00
_symmetry_space_group_name_H-M 'P 1'
_symmetry_Int_Tables_number 1
loop_
_symmetry_equiv_pos_as_xyz
'x,y,z'
loop_
_atom_site_label
_atom_site_type_symbol
_atom_site_fract_x
_atom_site_fract_y
_atom_site_fract_z
Co1 Co 0.7500 0.7500 0.7500
Pa1 Pa 0.5000 0.5000 0.5000
Mn1 Mn 0.2500 0.2500 0.2500
Pu1 Pu 0.0000 0.0000 0.0000
```

[3]
The following is a PBE calculation of a geometry-optimized PuGeRh2 structure, from the Alexandria database.

Calculated values
The value obtained for the final energy is -8.47 eV/atom. The calculation puts the density at 12.01 Mg/m³. The calculation puts the formation enthalpy at 0 K at -0.232 eV per formula unit.

Structure (CIF):
```
data_PuGeRh2
_chemical_formula_sum 'Pu1 Ge1 Rh2'
_cell_length_a 3.1102
_cell_length_b 3.1102
_cell_length_c 8.8076
_cell_angle_alpha 79.83
_cell_angle_beta 79.83
_cell_angle_gamma 60.00
_symmetry_space_group_name_H-M 'P 1'
_symmetry_Int_Tables_number 1
loop_
_symmetry_equiv_pos_as_xyz
'x,y,z'
loop_
_atom_site_label
_atom_site_type_symbol
_atom_site_fract_x
_atom_site_fract_y
_atom_site_fract_z
Ge1 Ge 0.5000 0.5000 0.5000
Rh1 Rh 0.9014 0.9014 0.2958
Rh2 Rh 0.0986 0.0986 0.7042
Pu1 Pu 0.0000 0.0000 0.0000
```

[4]
The following is a PBE calculation of a geometry-optimized Dy2ErPt structure, from the Alexandria database.

Calculated values
The value obtained for the final energy is -5.68 eV/atom. The calculation puts the density at 10.52 Mg/m³. The calculation puts the offset from the most stable computed form at 0 meV per atom. The calculation puts the formation enthalpy at 0 K at -2.894 eV per formula unit.

Structure (CIF):
```
data_Dy2ErPt
_chemical_formula_sum 'Dy8 Er4 Pt4'
_cell_length_a 6.4784
_cell_length_b 7.0067
_cell_length_c 9.5641
_cell_angle_alpha 90.00
_cell_angle_beta 90.00
_cell_angle_gamma 90.00
_symmetry_space_group_name_H-M 'P 1'
_symmetry_Int_Tables_number 1
loop_
_symmetry_equiv_pos_as_xyz
'x,y,z'
loop_
_atom_site_label
_atom_site_type_symbol
_atom_site_fract_x
_atom_site_fract_y
_atom_site_fract_z
Dy1 Dy 0.6797 0.8182 0.5605
Dy2 Dy 0.6797 0.8182 0.9395
Dy3 Dy 0.3203 0.1818 0.4395
Pt1 Pt 0.4531 0.8897 0.2500
Er1 Er 0.1314 0.9729 0.7500
Er2 Er 0.8686 0.0271 0.2500
Dy4 Dy 0.1797 0.6818 0.4395
Dy5 Dy 0.8203 0.3182 0.9395
Pt2 Pt 0.0469 0.3897 0.2500
Er3 Er 0.3686 0.4729 0.7500
Dy6 Dy 0.1797 0.6818 0.0605
Dy7 Dy 0.8203 0.3182 0.5605
Pt3 Pt 0.5469 0.1103 0.7500
Dy8 Dy 0.3203 0.1818 0.0605
Pt4 Pt 0.9531 0.6103 0.7500
Er4 Er 0.6314 0.5271 0.2500
```

[5]
The following is a PBE calculation of a geometry-optimized Zr2ZnW structure, from the Alexandria database.

Calculated values
The value obtained for the final energy is -7.66 eV/atom. The calculation puts the density at 9.55 Mg/m³. The calculation puts the formation enthalpy at 0 K at 0.671 eV per formula unit.

Structure (CIF):
```
data_Zr2ZnW
_chemical_formula_sum 'Zr2 Zn1 W1'
_cell_length_a 2.8421
_cell_length_b 2.8421
_cell_length_c 9.4360
_cell_angle_alpha 90.00
_cell_angle_beta 90.00
_cell_angle_gamma 99.83
_symmetry_space_group_name_H-M 'P 1'
_symmetry_Int_Tables_number 1
loop_
_symmetry_equiv_pos_as_xyz
'x,y,z'
loop_
_atom_site_label
_atom_site_type_symbol
_atom_site_fract_x
_atom_site_fract_y
_atom_site_fract_z
Zn1 Zn 0.5000 0.5000 0.7338
W1 W 0.0000 0.0000 0.5218
Zr1 Zr 0.0000 0.0000 0.9734
Zr2 Zr 0.5000 0.5000 0.2710
```

[6]
The following is a PBE calculation of a geometry-optimized NaTl2Rh structure, from the Alexandria database.

Calculated values
The value obtained for the final energy is -3.22 eV/atom. The calculation puts the density at 10.53 Mg/m³. The calculation puts the formation enthalpy at 0 K at 0.522 eV per formula unit.

Structure (CIF):
```
data_NaTl2Rh
_chemical_formula_sum 'Na1 Tl2 Rh1'
_cell_length_a 3.8577
_cell_length_b 4.6758
_cell_length_c 4.6758
_cell_angle_alpha 90.00
_cell_angle_beta 90.00
_cell_angle_gamma 90.00
_symmetry_space_group_name_H-M 'P 1'
_symmetry_Int_Tables_number 1
loop_
_symmetry_equiv_pos_as_xyz
'x,y,z'
loop_
_atom_site_label
_atom_site_type_symbol
_atom_site_fract_x
_atom_site_fract_y
_atom_site_fract_z
Tl1 Tl 0.0000 0.5000 0.0000
Tl2 Tl 0.0000 0.0000 0.5000
Na1 Na 0.5000 0.5000 0.5000
Rh1 Rh 0.5000 0.0000 0.0000
```